Material: NdGeO4
Method: DFT, PBE
State: relaxed

a b c (Å): 6.116 6.116 5.495
angles (deg): 111.75 111.75 50.93
Fractional positions:
Nd  0.216  0.784  0.750
Nd  0.784  0.216  0.250
Ge  0.000  0.500  0.000
Ge  0.500  0.000  0.500
O  0.132  0.219  0.678
O  0.219  0.132  0.178
O  0.298  0.522  0.057
O  0.478  0.702  0.443
O  0.522  0.298  0.557
O  0.702  0.478  0.943
O  0.781  0.868  0.822
O  0.868  0.781  0.322

Results
Raw formation energy in meV/atom: -2052
SG: No. 15